# Th5Re2Sb

Th5Re2Sb after structural relaxation (PBE, Alexandria via LeMat-Bulk).

Summary:
symmetry	No. 140
formation energy (no corrections)	-2.26	eV/f.u.
total DFT energy (no corrections)	-8.548	eV/atom

Cell: 8.1225 8.1225 8.8390 Å, 117.35 117.35 90.00°
Positions (direct):
Th (0.0000, 0.0000, 0.0000)
Sb (0.2500, 0.2500, 0.5000)
Re (0.3611, 0.8611, 0.0000)
Th (0.5223, 0.7078, 0.7300)
Sb (0.7500, 0.7500, 0.5000)
Re (0.6389, 0.1389, 0.0000)
Re (0.1389, 0.3611, 0.0000)
Th (0.4777, 0.2922, 0.2700)
Th (0.7922, 0.9777, 0.2700)
Th (0.2078, 0.0223, 0.7300)
Th (0.2922, 0.7922, 0.2700)
Th (0.7078, 0.2078, 0.7300)
Th (0.5000, 0.5000, 0.0000)
Re (0.8611, 0.6389, 0.0000)
Th (0.9777, 0.4777, 0.2700)
Th (0.0223, 0.5223, 0.7300)

# Pm12ErTm7

Pm12ErTm7 after structural relaxation (PBE, Alexandria via LeMat-Bulk).

Summary:
distance to the lowest polymorph of the same formula	0.000	eV per atom
symmetry	No. 148
total DFT energy (no corrections)	-4.417	eV/atom

Cell: 8.7838 8.7838 8.7838 Å, 86.53 86.53 86.53°
Positions (direct):
Er (0.0000, 0.0000, 0.0000)
Pm (0.3495, 0.2266, 0.7555)
Tm (0.1140, 0.9955, 0.6393)
Pm (0.7734, 0.2445, 0.6505)
Tm (0.8860, 0.0045, 0.3607)
Tm (0.0045, 0.3607, 0.8860)
Tm (0.3607, 0.8860, 0.0045)
Pm (0.5795, 0.8991, 0.6535)
Pm (0.7555, 0.3495, 0.2266)
Pm (0.6505, 0.7734, 0.2445)
Tm (0.9955, 0.6393, 0.1140)
Pm (0.4205, 0.1009, 0.3465)
Pm (0.3465, 0.4205, 0.1009)
Pm (0.2266, 0.7555, 0.3495)
Tm (0.5000, 0.5000, 0.5000)
Tm (0.6393, 0.1140, 0.9955)
Pm (0.1009, 0.3465, 0.4205)
Pm (0.2445, 0.6505, 0.7734)
Pm (0.6535, 0.5795, 0.8991)
Pm (0.8991, 0.6535, 0.5795)

# Zr2ScZn

Zr2ScZn after structural relaxation (PBE, Alexandria via LeMat-Bulk).

Summary:
symmetry	No. 166
total DFT energy (no corrections)	-6.160	eV/atom

Cell: 10.1696 10.1696 10.1696 Å, 17.99 17.99 17.99°
Positions (direct):
Zr (0.0068, 0.0068, 0.0068)
Sc (0.2500, 0.2500, 0.2500)
Zr (0.4932, 0.4932, 0.4932)
Zn (0.7500, 0.7500, 0.7500)

# NpGe2

NpGe2 after structural relaxation (PBE, Alexandria via LeMat-Bulk).

Summary:
symmetry	No. 227
total DFT energy (no corrections)	-7.424	eV/atom

Cell: 5.5127 5.5127 5.5127 Å, 60.00 60.00 60.00°
Site moments in Bohr magnetons follow the coordinates.
Positions (direct):
Np (0.0000, 0.0000, 0.0000)  4.19
Ge (0.6250, 0.6250, 0.1250)  -0.02
Ge (0.1250, 0.6250, 0.6250)  -0.02
Ge (0.6250, 0.1250, 0.6250)  -0.02
Ge (0.6250, 0.6250, 0.6250)  -0.02
Np (0.2500, 0.2500, 0.2500)  4.19

# La4Tb6Tm

La4Tb6Tm after structural relaxation (PBE, Alexandria via LeMat-Bulk).

Summary:
symmetry	No. 121
total DFT energy (no corrections)	-4.438	eV/atom

Cell: 9.7103 9.7103 9.7103 Å, 59.26 139.07 139.07°
Positions (direct):
La (0.0000, 0.0130, 0.6325)
Tb (0.5000, 0.0000, 0.5000)
Tb (0.6521, 0.2092, 0.2092)
La (0.0000, 0.6325, 0.0130)
Tb (0.0000, 0.7908, 0.4429)
Tm (0.0000, 0.0000, 0.0000)
Tb (0.0000, 0.4429, 0.7908)
La (0.3804, 0.3675, 0.3675)
La (0.6196, 0.9870, 0.9870)
Tb (0.5000, 0.5000, 0.0000)
Tb (0.3479, 0.5571, 0.5571)

# TeOs2Cl

TeOs2Cl after structural relaxation (PBE, Alexandria via LeMat-Bulk).

Summary:
distance to the lowest polymorph of the same formula	0.330	eV per atom
symmetry	No. 160
formation energy (no corrections)	2.21	eV/f.u.
total DFT energy (no corrections)	-6.311	eV/atom

Cell: 9.9437 9.9437 9.9437 Å, 17.39 17.39 17.39°
Positions (direct):
Os (0.2613, 0.2613, 0.2613)
Cl (0.7280, 0.7280, 0.7280)
Os (0.9948, 0.9948, 0.9948)
Te (0.5159, 0.5159, 0.5159)

Which of these has the highest total DFT energy (no corrections)?
Pm12ErTm7